A plane-wave DFT calculation with GGA-PBE was carried out for a relaxed Ta2TcCl crystal.

Geometry as extended XYZ:
```
4
Lattice="8.880 0.015 0.009 8.372 2.962 0.009 8.372 1.444 2.586" Properties=species:S:1:pos:R:3 pbc="T T T"
Ta 12.851 2.217 1.305
Ta 25.585 4.414 2.599
Tc 6.406 1.105 0.651
Cl 19.218 3.316 1.952
```

DFT total energy = -8.8562 eV/atom
Energy relative to the lowest polymorph listed for this composition = 247 meV per atom
Symmetry = R-3m, No. 166
Energy relative to the elements, uncorrected = 0.123 eV/atom